No. 1
The following is a DFT calculation (GGA-PBE) of an optimized crystal structure of In5Ga5Bi.

Lattice parameters (Å, degrees): 5.5633 5.5633 10.1507 90.00 90.00 120.00
Space group P-6m2 (No. 187)
Symmetry-distinct sites (fractional):
1 In 0.0000 0.0000 0.0000 (multiplicity 1)
2 In 0.3333 0.6667 0.1827 (multiplicity 2)
3 In 0.6667 0.3333 0.3306 (multiplicity 2)
4 Ga 0.0000 0.0000 0.2809 (multiplicity 2)
5 Ga 0.1721 0.3441 0.5000 (multiplicity 3)
6 Bi 0.6667 0.3333 0.0000 (multiplicity 1)

Energy relative to the elements   4.5 kJ/mol of atoms
Fermi-level density of states   0.402 states/eV per atom
Calculated density   6.9 g/cm3
Total magnetic moment   0.00 Bohr magnetons per cell

No. 2
The following is a DFT calculation (GGA-PBE) of an optimized crystal structure of InGaBi.

Lattice parameters (Å, degrees): 5.2617 5.2617 3.4064 90.00 90.00 120.00
Space group P3m1 (No. 156)
Symmetry-distinct sites (fractional):
1 In 0.0000 0.0000 0.0000 (multiplicity 1)
2 Ga 0.3333 0.6667 0.6694 (multiplicity 1)
3 Bi 0.6667 0.3333 0.3745 (multiplicity 1)

Energy above the most stable polymorph in this dataset   0.150 eV/f.u.
Energy relative to the elements   8.4 kJ/mol of atoms
Fermi-level density of states   0.516 states/eV per atom
Calculated density   8.0 g/cm3
Total magnetic moment   0.00 Bohr magnetons per cell

No. 3
The following is a DFT calculation (GGA-PBE) of an optimized crystal structure of In5Ga4Bi2.

Lattice parameters (Å, degrees): 22.744 4.254 6.126 90.00 95.60 90.00
Space group C2/m (No. 12)
Symmetry-distinct sites (fractional):
1 In 0.000 0.000 0.000 (multiplicity 2)
2 In 0.110 0.500 0.949 (multiplicity 4)
3 In 0.174 0.500 0.443 (multiplicity 4)
4 Ga 0.038 0.500 0.336 (multiplicity 4)
5 Ga 0.071 0.000 0.596 (multiplicity 4)
6 Bi 0.212 0.000 0.831 (multiplicity 4)

Energy relative to the elements   6.1 kJ/mol of atoms
Fermi-level density of states   0.406 states/eV per atom
Calculated density   7.2 g/cm3
Total magnetic moment   0.00 Bohr magnetons per cell

No. 4
The following is a DFT calculation (GGA-PBE) of an optimized crystal structure of InGa2Bi2.

Lattice parameters (Å, degrees): 8.762 8.762 3.552 90.00 90.00 90.00
Space group P4/mbm (No. 127)
Symmetry-distinct sites (fractional):
1 In 0.000 0.000 0.000 (multiplicity 2)
2 Ga 0.127 0.373 0.000 (multiplicity 4)
3 Bi 0.168 0.668 0.500 (multiplicity 4)

Energy above the most stable polymorph in this dataset   0.000 eV/f.u.
Energy relative to the elements   7.8 kJ/mol of atoms
Fermi-level density of states   0.396 states/eV per atom
Calculated density   8.2 g/cm3
Total magnetic moment   0.00 Bohr magnetons per cell

No. 5
The following is a DFT calculation (GGA-PBE) of an optimized crystal structure of InGaBi2.

Lattice parameters (Å, degrees): 3.972 3.972 7.118 90.00 90.00 90.00
Space group P4/mmm (No. 123)
Symmetry-distinct sites (fractional):
1 In 0.000 0.000 0.000 (multiplicity 1)
2 Ga 0.000 0.000 0.500 (multiplicity 1)
3 Bi 0.500 0.500 0.268 (multiplicity 2)

Energy above the most stable polymorph in this dataset   0.264 eV/f.u.
Energy relative to the elements   8.1 kJ/mol of atoms
Fermi-level density of states   0.620 states/eV per atom
Calculated density   8.9 g/cm3
Total magnetic moment   0.00 Bohr magnetons per cell

No. 6
The following is a DFT calculation (GGA-PBE) of an optimized crystal structure of InGaBi.

Lattice parameters (Å, degrees): 7.088 7.088 7.088 90.00 90.00 90.00
Space group F-43m (No. 216)
Symmetry-distinct sites (fractional):
1 In 0.000 0.000 0.000 (multiplicity 4)
2 Ga 0.250 0.250 0.750 (multiplicity 4)
3 Bi 0.000 0.000 0.500 (multiplicity 4)

Energy above the most stable polymorph in this dataset   0.156 eV/f.u.
Energy relative to the elements   8.5 kJ/mol of atoms
Fermi-level density of states   1.056 states/eV per atom
Calculated density   7.3 g/cm3
Total magnetic moment   0.00 Bohr magnetons per cell

No. 7
The following is a DFT calculation (GGA-PBE) of an optimized crystal structure of InGaBi.

Lattice parameters (Å, degrees): 3.420 5.802 8.710 105.69 100.23 90.07
Space group P-1 (No. 2)
Symmetry-distinct sites (fractional):
1 In 0.073 0.299 0.135 (multiplicity 2)
2 Ga 0.248 0.688 0.500 (multiplicity 2)
3 Bi 0.368 0.152 0.756 (multiplicity 2)

Energy above the most stable polymorph in this dataset   0.022 eV/f.u.
Energy relative to the elements   4.2 kJ/mol of atoms
Fermi-level density of states   0.341 states/eV per atom
Calculated density   8.0 g/cm3
Total magnetic moment   0.00 Bohr magnetons per cell

No. 8
The following is a DFT calculation (GGA-PBE) of an optimized crystal structure of InGaBi.

Lattice parameters (Å, degrees): 6.016 3.295 8.583 90.00 106.32 90.00
Space group P2/m (No. 10)
Symmetry-distinct sites (fractional):
1 In 0.172 0.000 0.195 (multiplicity 2)
2 Ga 0.277 0.500 0.913 (multiplicity 2)
3 Bi 0.285 0.000 0.601 (multiplicity 2)

Energy above the most stable polymorph in this dataset   0.050 eV/f.u.
Energy relative to the elements   5.1 kJ/mol of atoms
Fermi-level density of states   0.413 states/eV per atom
Calculated density   8.0 g/cm3
Total magnetic moment   0.00 Bohr magnetons per cell

No. 9
The following is a DFT calculation (GGA-PBE) of an optimized crystal structure of InGa4Bi.

Lattice parameters (Å, degrees): 8.191 8.191 8.191 90.00 90.00 90.00
Space group F-43m (No. 216)
Symmetry-distinct sites (fractional):
1 In 0.000 0.000 0.000 (multiplicity 4)
2 Ga 0.125 0.125 0.625 (multiplicity 16)
3 Bi 0.250 0.250 0.250 (multiplicity 4)

Energy above the most stable polymorph in this dataset   0.000 eV/f.u.
Energy relative to the elements   6.2 kJ/mol of atoms
Fermi-level density of states   0.459 states/eV per atom
Calculated density   7.3 g/cm3
Total magnetic moment   0.00 Bohr magnetons per cell

No. 10
The following is a DFT calculation (GGA-PBE) of an optimized crystal structure of InGaBi.

Lattice parameters (Å, degrees): 3.403 3.403 13.890 90.00 90.00 90.00
Space group I4mm (No. 107)
Symmetry-distinct sites (fractional):
1 In 0.000 0.000 0.000 (multiplicity 2)
2 Ga 0.000 0.000 0.350 (multiplicity 2)
3 Bi 0.000 0.000 0.689 (multiplicity 2)

Energy above the most stable polymorph in this dataset   0.063 eV/f.u.
Energy relative to the elements   5.5 kJ/mol of atoms
Fermi-level density of states   0.427 states/eV per atom
Calculated density   8.1 g/cm3
Total magnetic moment   0.00 Bohr magnetons per cell

No. 11
The following is a DFT calculation (GGA-PBE) of an optimized crystal structure of InGaBi2.

Lattice parameters (Å, degrees): 3.3879 3.3879 35.3683 90.00 90.00 120.00
Space group R-3m (No. 166, hexagonal axes)
Symmetry-distinct sites (fractional):
1 In 0.0000 0.0000 0.0000 (multiplicity 3)
2 Ga 0.0000 0.0000 0.5000 (multiplicity 3)
3 Bi 0.0000 0.0000 0.4172 (multiplicity 6)

Energy above the most stable polymorph in this dataset   0.523 eV/f.u.
Energy relative to the elements   14.4 kJ/mol of atoms
Fermi-level density of states   0.562 states/eV per atom
Calculated density   8.5 g/cm3
Total magnetic moment   0.00 Bohr magnetons per cell

No. 12
The following is a DFT calculation (GGA-PBE) of an optimized crystal structure of In12GaBi3.

Lattice parameters (Å, degrees): 5.001 5.001 18.061 90.00 90.00 90.00
Space group P4/mmm (No. 123)
Symmetry-distinct sites (fractional):
1 In 0.000 0.000 0.000 (multiplicity 1)
2 In 0.000 0.000 0.245 (multiplicity 2)
3 In 0.000 0.000 0.500 (multiplicity 1)
4 In 0.000 0.500 0.113 (multiplicity 4)
5 In 0.000 0.500 0.371 (multiplicity 4)
6 Ga 0.500 0.500 0.000 (multiplicity 1)
7 Bi 0.500 0.500 0.237 (multiplicity 2)
8 Bi 0.500 0.500 0.500 (multiplicity 1)

Energy relative to the elements   2.6 kJ/mol of atoms
Fermi-level density of states   0.530 states/eV per atom
Calculated density   7.6 g/cm3
Total magnetic moment   0.00 Bohr magnetons per cell

Final energy
In order: -32.2; -9.4; -32.9; -16.1; -13.2; -9.4; -9.5; -9.5; -18.3; -9.5; -12.9; -47.1
Unit: eV per formula unit